The following is a DFT calculation (PBE) of a geometry-optimized Li2PuTc3N6 structure.

The value obtained for the calculated density is 8.5 g/cm3. Its calculated total energy is -8.665 eV/atom. For the uncorrected formation energy, the calculation gives -0.40 eV per atom.

Cell lengths 6.954, 6.954, 6.342 Å; angles 105.71, 105.71, 25.07 degrees
Sites, in units of the cell vectors:
1 Li 0.177 0.177 0.376
2 Li 0.823 0.823 0.624
3 Pu 0.500 0.500 0.000
4 Tc 0.181 0.181 0.849
5 Tc 0.500 0.500 0.500
6 Tc 0.819 0.819 0.151
7 N 0.004 0.004 0.736
8 N 0.332 0.332 0.908
9 N 0.339 0.339 0.389
10 N 0.661 0.661 0.611
11 N 0.668 0.668 0.092
12 N 0.996 0.996 0.264



The following is a DFT calculation (PBE) of a geometry-optimized CrTcW structure.

The value obtained for the calculated density is 12.9 g/cm3. The calculation puts the formation energy at 13.07 kJ/mol of atoms. Its calculated total energy is -10.845 eV/atom. As for the energy above the lowest structure with this stoichiometry: 75 meV per atom.

Cell lengths 6.726, 6.539, 2.683 Å; angles 82.27, 74.45, 23.28 degrees
Sites, in units of the cell vectors:
1 Cr 0.000 0.000 0.000
2 Tc 0.341 0.341 0.659
3 W 0.664 0.664 0.336



The following is a DFT calculation (PBE) of a geometry-optimized Pm3Nd8Ho4 structure.

The value obtained for the calculated density is 7.2 g/cm3. The calculation puts the formation energy at 31.63 kJ/mol of atoms. Its calculated total energy is -4.386 eV/atom.

Cell lengths 9.272, 9.272, 6.915 Å; angles 110.80, 110.80, 83.03 degrees
Sites, in units of the cell vectors:
1 Pm 0.000 0.000 0.000
2 Pm 0.000 0.500 0.500
3 Pm 0.500 0.000 0.500
4 Nd 0.204 0.204 0.675
5 Nd 0.205 0.795 0.500
6 Nd 0.253 0.747 0.000
7 Nd 0.255 0.255 0.208
8 Nd 0.745 0.745 0.792
9 Nd 0.747 0.253 0.000
10 Nd 0.795 0.205 0.500
11 Nd 0.796 0.796 0.325
12 Ho 0.000 0.500 0.000
13 Ho 0.500 0.000 0.000
14 Ho 0.500 0.500 0.000
15 Ho 0.500 0.500 0.500



The following is a DFT calculation (PBE) of a geometry-optimized SrUS3 structure.

The value obtained for the calculated density is 4.8 g/cm3. Its calculated total energy is -6.667 eV/atom. For the uncorrected formation energy, the calculation gives -1.60 eV per atom. As for the energy above the lowest structure with this stoichiometry: 99 meV per atom.

Cell lengths 7.585, 7.585, 8.184 Å; angles 97.38, 97.38, 38.87 degrees
Sites, in units of the cell vectors:
1 Sr 0.137 0.137 0.367
2 Sr 0.863 0.863 0.633
3 U 0.368 0.368 0.085
4 U 0.632 0.632 0.915
5 S 0.172 0.172 0.995
6 S 0.340 0.340 0.395
7 S 0.447 0.447 0.802
8 S 0.553 0.553 0.198
9 S 0.660 0.660 0.605
10 S 0.828 0.828 0.005